[1]
RePt after structural relaxation. Source: Alexandria via LeMat-Bulk, functional PBE-GGA.

E: -0.6813 Ry/atom
polymorph energy (0 for the lowest one): 100.5 meV/atom
space-group type: R-3m, No. 166

a = 2.7631 Å, b = 2.7631 Å, c = 13.7135 Å
α = 90.00°, β = 90.00°, γ = 120.00°
Fractional coordinates of all 6 atoms:
1 Re 0.0000 0.0000 0.0000
2 Re 0.3333 0.6667 0.6667
3 Re 0.6667 0.3333 0.3333
4 Pt 0.0000 0.0000 0.5000
5 Pt 0.3333 0.6667 0.1667
6 Pt 0.6667 0.3333 0.8333


[2]
RePt2 after structural relaxation. Source: Alexandria via LeMat-Bulk, functional PBE-GGA.

E: -0.6094 Ry/atom
polymorph energy (0 for the lowest one): 32.2 meV/atom
space-group type: Immm, No. 71

a = 2.7815 Å, b = 3.9612 Å, c = 8.2700 Å
α = 90.00°, β = 90.00°, γ = 90.00°
Fractional coordinates of all 6 atoms:
1 Re 0.0000 0.0000 0.0000
2 Re 0.5000 0.5000 0.5000
3 Pt 0.0000 0.0000 0.3372
4 Pt 0.0000 0.0000 0.6628
5 Pt 0.5000 0.5000 0.1628
6 Pt 0.5000 0.5000 0.8372


[3]
RePt4 after structural relaxation. Source: Alexandria via LeMat-Bulk, functional PBE-GGA.

E: -0.5464 Ry/atom
polymorph energy (0 for the lowest one): 0.0 meV/atom
space-group type: I4/m, No. 87

a = 6.2571 Å, b = 6.2571 Å, c = 3.9266 Å
α = 90.00°, β = 90.00°, γ = 90.00°
Fractional coordinates of all 10 atoms:
1 Re 0.0000 0.0000 0.0000
2 Re 0.5000 0.5000 0.5000
3 Pt 0.1029 0.2943 0.5000
4 Pt 0.2057 0.6029 0.0000
5 Pt 0.2943 0.8971 0.5000
6 Pt 0.3971 0.2057 0.0000
7 Pt 0.6029 0.7943 0.0000
8 Pt 0.7057 0.1029 0.5000
9 Pt 0.7943 0.3971 0.0000
10 Pt 0.8971 0.7057 0.5000


[4]
Re3Pt after structural relaxation. Source: Alexandria via LeMat-Bulk, functional PBE-GGA.

E: -0.8074 Ry/atom
space-group type: P6_3/mmc, No. 194

a = 5.5579 Å, b = 5.5579 Å, c = 8.9404 Å
α = 90.00°, β = 90.00°, γ = 120.00°
Fractional coordinates of all 16 atoms:
1 Re 0.0000 0.5000 0.0000
2 Re 0.0000 0.5000 0.5000
3 Re 0.1727 0.3455 0.2500
4 Re 0.1727 0.8273 0.2500
5 Re 0.3455 0.1727 0.7500
6 Re 0.5000 0.0000 0.0000
7 Re 0.5000 0.0000 0.5000
8 Re 0.5000 0.5000 0.0000
9 Re 0.5000 0.5000 0.5000
10 Re 0.6545 0.8273 0.2500
11 Re 0.8273 0.1727 0.7500
12 Re 0.8273 0.6545 0.7500
13 Pt 0.0000 0.0000 0.0000
14 Pt 0.0000 0.0000 0.5000
15 Pt 0.3333 0.6667 0.7500
16 Pt 0.6667 0.3333 0.2500


[5]
Re3Pt5 after structural relaxation. Source: Alexandria via LeMat-Bulk, functional PBE-GGA.

E: -0.6258 Ry/atom
polymorph energy (0 for the lowest one): 0.0 meV/atom
space-group type: C2/c, No. 15

a = 7.1551 Å, b = 7.1551 Å, c = 5.3467 Å
α = 109.07°, β = 109.07°, γ = 85.15°
Fractional coordinates of all 16 atoms:
1 Re 0.0478 0.9522 0.7500
2 Re 0.1664 0.5883 0.5143
3 Re 0.4117 0.8336 0.9857
4 Re 0.5883 0.1664 0.0143
5 Re 0.8336 0.4117 0.4857
6 Re 0.9522 0.0478 0.2500
7 Pt 0.0835 0.6682 0.9977
8 Pt 0.2051 0.2882 0.7364
9 Pt 0.2882 0.2051 0.2364
10 Pt 0.3318 0.9165 0.5023
11 Pt 0.4591 0.5409 0.2500
12 Pt 0.5409 0.4591 0.7500
13 Pt 0.6682 0.0835 0.4977
14 Pt 0.7118 0.7949 0.7636
15 Pt 0.7949 0.7118 0.2636
16 Pt 0.9165 0.3318 0.0023


[6]
RePt2 after structural relaxation. Source: Alexandria via LeMat-Bulk, functional PBE-GGA.

E: -0.5551 Ry/atom
polymorph energy (0 for the lowest one): 771.8 meV/atom
space-group type: P-3m1, No. 164

a = 3.6366 Å, b = 3.6366 Å, c = 4.7867 Å
α = 90.00°, β = 90.00°, γ = 120.00°
Fractional coordinates of all 3 atoms:
1 Re 0.0000 0.0000 0.0000
2 Pt 0.3333 0.6667 0.2948
3 Pt 0.6667 0.3333 0.7052


[7]
Re5Pt4 after structural relaxation. Source: Alexandria via LeMat-Bulk, functional PBE-GGA.

E: -0.6913 Ry/atom
polymorph energy (0 for the lowest one): 331.4 meV/atom
space-group type: P6_3/mcm, No. 193

a = 7.6515 Å, b = 7.6515 Å, c = 5.4757 Å
α = 90.00°, β = 90.00°, γ = 120.00°
Fractional coordinates of all 18 atoms:
1 Re 0.0000 0.3330 0.2500
2 Re 0.0000 0.6670 0.7500
3 Re 0.3330 0.0000 0.2500
4 Re 0.3330 0.3330 0.7500
5 Re 0.3333 0.6667 0.0000
6 Re 0.3333 0.6667 0.5000
7 Re 0.6670 0.0000 0.7500
8 Re 0.6667 0.3333 0.0000
9 Re 0.6667 0.3333 0.5000
10 Re 0.6670 0.6670 0.2500
11 Pt 0.0000 0.0000 0.0000
12 Pt 0.0000 0.0000 0.5000
13 Pt 0.0000 0.3396 0.7500
14 Pt 0.0000 0.6604 0.2500
15 Pt 0.3396 0.0000 0.7500
16 Pt 0.3396 0.3396 0.2500
17 Pt 0.6604 0.0000 0.2500
18 Pt 0.6604 0.6604 0.7500


[8]
RePt2 after structural relaxation. Source: Alexandria via LeMat-Bulk, functional PBE-GGA.

E: -0.5668 Ry/atom
polymorph energy (0 for the lowest one): 612.7 meV/atom
space-group type: P4/mmm, No. 123

a = 4.5612 Å, b = 4.5612 Å, c = 2.7099 Å
α = 90.00°, β = 90.00°, γ = 90.00°
Fractional coordinates of all 3 atoms:
1 Re 0.0000 0.0000 0.0000
2 Pt 0.0000 0.5000 0.5000
3 Pt 0.5000 0.0000 0.5000


[9]
Re3Pt after structural relaxation. Source: Alexandria via LeMat-Bulk, functional PBE-GGA.

E: -0.8112 Ry/atom
space-group type: Pmmn, No. 59

a = 4.4322 Å, b = 5.5843 Å, c = 4.8253 Å
α = 90.00°, β = 90.00°, γ = 90.00°
Fractional coordinates of all 8 atoms:
1 Re 0.2500 0.0046 0.1645
2 Re 0.2500 0.4954 0.1645
3 Re 0.2500 0.7500 0.6797
4 Re 0.7500 0.2500 0.3203
5 Re 0.7500 0.5046 0.8355
6 Re 0.7500 0.9954 0.8355
7 Pt 0.2500 0.2500 0.6655
8 Pt 0.7500 0.7500 0.3345


[10]
RePt after structural relaxation. Source: Alexandria via LeMat-Bulk, functional PBE-GGA.

E: -0.5802 Ry/atom
polymorph energy (0 for the lowest one): 1476.4 meV/atom
space-group type: I-43m, No. 217

a = 7.7050 Å, b = 7.7050 Å, c = 7.7050 Å
α = 90.00°, β = 90.00°, γ = 90.00°
Fractional coordinates of all 16 atoms:
1 Re 0.1210 0.1210 0.1210
2 Re 0.1210 0.8790 0.8790
3 Re 0.3790 0.3790 0.6210
4 Re 0.3790 0.6210 0.3790
5 Re 0.6210 0.3790 0.3790
6 Re 0.6210 0.6210 0.6210
7 Re 0.8790 0.1210 0.8790
8 Re 0.8790 0.8790 0.1210
9 Pt 0.1968 0.1968 0.8032
10 Pt 0.1968 0.8032 0.1968
11 Pt 0.3032 0.3032 0.3032
12 Pt 0.3032 0.6968 0.6968
13 Pt 0.6968 0.3032 0.6968
14 Pt 0.6968 0.6968 0.3032
15 Pt 0.8032 0.1968 0.1968
16 Pt 0.8032 0.8032 0.8032


[11]
RePt after structural relaxation. Source: Alexandria via LeMat-Bulk, functional PBE-GGA.

E: -0.6877 Ry/atom
polymorph energy (0 for the lowest one): 13.1 meV/atom
space-group type: P4/nmm, No. 129

a = 2.7781 Å, b = 2.7781 Å, c = 7.9076 Å
α = 90.00°, β = 90.00°, γ = 90.00°
Fractional coordinates of all 4 atoms:
1 Re 0.2500 0.2500 0.1162
2 Re 0.7500 0.7500 0.8838
3 Pt 0.2500 0.2500 0.6351
4 Pt 0.7500 0.7500 0.3649


[12]
Re3Pt after structural relaxation. Source: Alexandria via LeMat-Bulk, functional PBE-GGA.

E: -0.7985 Ry/atom
space-group type: P4/mmm, No. 123

a = 2.7547 Å, b = 2.7547 Å, c = 7.9467 Å
α = 90.00°, β = 90.00°, γ = 90.00°
Fractional coordinates of all 4 atoms:
1 Re 0.0000 0.0000 0.0000
2 Re 0.5000 0.5000 0.2421
3 Re 0.5000 0.5000 0.7579
4 Pt 0.0000 0.0000 0.5000


Number 1: DOS(E_F) 0.83 states/eV/f.u., formation energy -0.0251 eV per atom. Number 2: DOS(E_F) 1.86 states/eV/f.u., formation energy -0.1150 eV per atom. Number 3: DOS(E_F) 4.14 states/eV/f.u., formation energy -0.1120 eV per atom. Number 4: DOS(E_F) 1.38 states/eV/f.u., formation energy -0.1391 eV per atom. Number 5: DOS(E_F) 6.83 states/eV/f.u., formation energy -0.0710 eV per atom. Number 6: DOS(E_F) 1.89 states/eV/f.u., formation energy 0.6246 eV per atom. Number 7: DOS(E_F) 8.89 states/eV/f.u., formation energy 0.1944 eV per atom. Number 8: DOS(E_F) 4.41 states/eV/f.u., formation energy 0.4654 eV per atom. Number 9: DOS(E_F) 1.95 states/eV/f.u., formation energy -0.1911 eV per atom. Number 10: DOS(E_F) 3.34 states/eV/f.u., formation energy 1.3508 eV per atom. Number 11: DOS(E_F) 1.43 states/eV/f.u., formation energy -0.1125 eV per atom. Number 12: DOS(E_F) 3.35 states/eV/f.u., formation energy -0.0172 eV per atom.